Entry 1:
5
Lattice="-1.9110 -5.1373 -0.2023 4.7954 -1.7032 -2.0465 1.4424 -0.6923 3.9560" Properties=species:S:1:pos:R:3 comment="TlGeSe2N, optimized geometry, DFT PBE" dos_ef_per_ev_atom=0.380 e_form_raw_mev_per_atom=1147 de_polymorph_kj_per_mol_fu=322 pbc="T T T"
Se -0.9555 -2.5687 -0.1011
Se 2.3977 -0.8516 -1.0232
N 0.7212 -0.3461 1.9780
Tl 0.0000 0.0000 0.0000
Ge 2.1634 -3.7664 0.8536

Entry 2:
4
Lattice="3.6061 0.0000 0.0000 0.0000 3.6061 0.0000 0.0000 0.0000 7.8209" Properties=species:S:1:pos:R:3 comment="Pm2InP, optimized geometry, DFT PBE" dos_ef_per_ev_atom=0.678 delta_e_f_ev_per_atom=-0.774 de_polymorph_kj_per_mol_fu=74 pbc="T T T"
P 1.8030 1.8030 0.0000
Pm 0.0000 0.0000 6.1555
Pm 0.0000 0.0000 1.6654
In 1.8030 1.8030 3.9105

Entry 3:
11
Lattice="6.8884 -0.0048 -0.7618 0.0017 7.3468 0.0047 -1.1895 -0.0004 6.8275" Properties=species:S:1:pos:R:3 comment="Th7Ga2Hg2, optimized geometry, DFT PBE" dos_ef_per_ev_atom=1.183 delta_e_f_ev_per_atom=0.055 pbc="T T T"
Th 3.4471 5.2971 -0.3767
Th 2.2534 2.0445 6.4472
Th 0.0000 0.0000 0.0000
Th 6.2942 5.2945 2.6535
Th 2.8503 1.8635 3.0336
Th 2.8502 5.4780 3.0368
Th -0.5936 2.0471 3.4169
Ga 4.6515 -0.0022 1.3398
Ga 1.0490 7.3438 4.7307
Hg 4.7424 3.6691 5.0491
Hg 0.9581 3.6725 1.0213

Entry 4:
5
Lattice="-1.5235 -3.2292 -2.3978 4.0221 -1.2141 -0.9204 0.0142 -2.5684 3.4499" Properties=species:S:1:pos:R:3 comment="Ti3BeCr, optimized geometry, DFT PBE" dos_ef_per_ev_atom=2.906 delta_e_f_ev_per_atom=0.770 de_polymorph_kj_per_mol_fu=0 pbc="T T T"
Ti -0.7618 -1.6146 -1.1989
Ti 2.0110 -0.6071 -0.4602
Ti 0.0071 -1.2842 1.7249
Cr 1.2564 -3.5058 0.0658
Be 0.0000 0.0000 0.0000

Entry 5:
5
Lattice="-4.6387 -0.9144 -1.6187 -0.4009 -3.0609 2.8778 -1.7975 3.3168 3.2775" Properties=species:S:1:pos:R:3 comment="MgIn2NiOs, optimized geometry, DFT PBE" dos_ef_per_ev_atom=0.610 delta_e_f_ev_per_atom=1.585 pbc="T T T"
Ni -0.2004 -1.5304 1.4389
In -0.8987 1.6584 1.6387
In -2.3194 -0.4572 -0.8094
Mg 0.0000 0.0000 0.0000
Os -3.4186 -0.3292 2.2683

Entry 6:
8
Lattice="-3.8180 3.6063 0.4377 -3.5571 -3.8402 0.6119 1.2647 0.2535 8.9431" Properties=species:S:1:pos:R:3 comment="Pr2DyCd, optimized geometry, DFT PBE" dos_ef_per_ev_atom=1.221 delta_e_f_ev_per_atom=-0.147 de_polymorph_kj_per_mol_fu=0 pbc="T T T"
Pr -1.6269 1.8597 2.2138
Pr -0.7959 -1.7231 7.2541
Pr 0.6324 0.1267 4.4715
Pr -3.0552 0.0098 4.9963
Cd 0.0000 0.0000 0.0000
Cd -3.6875 -0.1169 0.5248
Dy -1.5023 -1.8647 2.2592
Dy -0.9205 2.0013 7.2087

Entry 7:
5
Lattice="-1.9735 0.0357 4.4692 1.2030 -4.7010 0.5687 4.7567 1.4699 2.0887" Properties=species:S:1:pos:R:3 comment="TlFeBrCl2, optimized geometry, DFT PBE" dos_ef_per_ev_atom=0.748 e_form_raw_mev_per_atom=-689 pbc="T T T"
Fe 0.0000 0.0000 0.0000
Cl 0.6015 -2.3505 0.2844
Cl -0.9868 0.0178 2.2346
Tl 1.9931 -1.5977 3.5633
Br 2.3783 0.7350 1.0444

Entry 8:
10
Lattice="9.3851 0.5822 0.4193 4.8699 8.0438 0.4193 4.8699 2.9469 7.4962" Properties=species:S:1:pos:R:3 comment="K2NpHgI6, optimized geometry, DFT PBE" dos_ef_per_ev_atom=0.473 e_form_raw_mev_per_atom=-976 pbc="T T T"
I 11.8570 8.6164 2.3535
I 9.8975 8.2011 7.4264
I 6.5392 7.6836 3.1625
I 9.8405 3.7056 1.1109
I 13.1340 4.2940 5.4248
I 7.8481 3.2715 6.2852
Hg 9.7638 5.9082 4.2552
K 13.0310 7.8852 5.6790
K 3.8853 2.3511 1.6933
Np 0.2754 0.1666 0.1200

Entry 9:
10
Lattice="0.0000 5.6858 9.8884 3.5611 0.0000 9.8884 3.5611 5.6858 0.0000" Properties=species:S:1:pos:R:3 comment="K2Mg3, optimized geometry, DFT PBE" dos_ef_per_ev_atom=0.537 delta_e_f_ev_per_atom=0.184 de_polymorph_kj_per_mol_fu=0 pbc="T T T"
Mg 0.7888 5.6858 9.8884
Mg 4.2200 7.5815 17.3434
Mg 2.5693 2.8429 4.9442
Mg 2.4394 6.6329 12.3992
Mg 4.2200 9.4758 12.3218
Mg 2.4394 4.7386 7.3776
K 4.2884 3.8235 10.8019
K 6.0690 10.3910 15.7461
K 4.2884 7.5481 8.9749
K 6.0690 6.6663 13.9191

Entry 10:
4
Lattice="-0.6210 0.1266 -3.4335 -2.6532 -2.8581 0.3745 -2.4408 2.3350 0.5276" Properties=species:S:1:pos:R:3 comment="Be2AlP, optimized geometry, DFT PBE" dos_ef_per_ev_atom=0.263 delta_e_f_ev_per_atom=0.329 de_polymorph_kj_per_mol_fu=70 pbc="T T T"
P -1.5309 1.2308 -1.4530
Be 0.0000 0.0000 0.0000
Be -1.6371 -1.3657 -1.5295
Al -2.5470 -0.2616 0.4510

Entry 11:
8
Lattice="-4.4968 -0.6847 -5.5010 -2.4068 -6.1398 2.7317 -5.0201 -2.2893 -0.2425" Properties=species:S:1:pos:R:3 comment="MgMo2C, optimized geometry, DFT PBE" dos_ef_per_ev_atom=0.450 delta_e_f_ev_per_atom=0.433 de_polymorph_kj_per_mol_fu=0 pbc="T T T"
Mo -6.5988 -4.9008 -0.9425
Mo -9.5609 -7.0638 -2.8830
Mo -3.7789 -4.5649 0.3994
Mo -3.9089 -1.6981 -2.5976
C -5.4393 -5.9207 0.5523
C -3.4518 -3.4123 -1.3847
Mg 0.0000 0.0000 0.0000
Mg -6.4843 -3.1932 -3.5641

Entry 12:
12
Lattice="4.8044 -0.5032 -2.8069 -0.7783 4.9110 -2.1904 -0.6906 1.0102 8.8808" Properties=species:S:1:pos:R:3 comment="RbAgH4, optimized geometry, DFT PBE" dos_ef_per_ev_atom=0.000 e_tot_ev_per_atom=-2.749 pbc="T T T"
H 0.4199 2.4819 0.6190
H 1.4297 1.4116 4.2485
H 3.3246 2.2397 -0.9500
H 1.4956 4.6965 3.8631
H 0.0109 3.1783 4.8335
H 2.9157 2.9361 3.2646
H 1.9059 4.0064 -0.3650
H 1.8399 0.7215 0.0204
Rb 3.8452 4.5154 -2.7382
Rb -0.5097 0.9026 6.6218
Ag 1.8788 2.3656 -0.1564
Ag 1.4567 3.0524 4.0399